a.
Below is crystalline TiCr3C at its relaxed geometry, with properties calculated at the PBE level.

Geometry as CIF:
```
data_TiCr3C
_chemical_formula_sum 'Ti1 Cr3 C1'
_cell_length_a 4.230
_cell_length_b 4.230
_cell_length_c 4.230
_cell_angle_alpha 90.00
_cell_angle_beta 90.00
_cell_angle_gamma 90.00
_symmetry_space_group_name_H-M 'P 1'
_symmetry_Int_Tables_number 1
loop_
_symmetry_equiv_pos_as_xyz
'x,y,z'
loop_
_atom_site_label
_atom_site_type_symbol
_atom_site_fract_x
_atom_site_fract_y
_atom_site_fract_z
Cr1 Cr 0.000 0.500 0.000
Cr2 Cr 0.000 0.000 0.500
Cr3 Cr 0.500 0.000 0.000
C1 C 0.500 0.500 0.500
Ti1 Ti 0.000 0.000 0.000
```

Crystal system   cubic
SG   Pm-3m
Total magnetization   0.001 μB/atom

=====

b.
Below is crystalline TiCr3C at its relaxed geometry, with properties calculated at the PBE level.

Geometry as CIF:
```
data_TiCr3C
_chemical_formula_sum 'Ti1 Cr3 C1'
_cell_length_a 3.886
_cell_length_b 3.886
_cell_length_c 3.886
_cell_angle_alpha 90.00
_cell_angle_beta 90.00
_cell_angle_gamma 90.00
_symmetry_space_group_name_H-M 'P 1'
_symmetry_Int_Tables_number 1
loop_
_symmetry_equiv_pos_as_xyz
'x,y,z'
loop_
_atom_site_label
_atom_site_type_symbol
_atom_site_fract_x
_atom_site_fract_y
_atom_site_fract_z
Cr1 Cr 0.000 0.500 0.000
Cr2 Cr 0.000 0.000 0.500
Cr3 Cr 0.500 0.000 0.000
C1 C 0.000 0.000 0.000
Ti1 Ti 0.500 0.500 0.500
```

Crystal system   cubic
SG   Pm-3m
Total magnetization   0.000 μB/atom

=====

Of them, b has the highest stability.

=====

a.
Below is crystalline Ti3CrC at its relaxed geometry, with properties calculated at the PBE level.

Geometry as CIF:
```
data_Ti3CrC
_chemical_formula_sum 'Ti3 Cr1 C1'
_cell_length_a 4.138
_cell_length_b 4.138
_cell_length_c 4.138
_cell_angle_alpha 90.00
_cell_angle_beta 90.00
_cell_angle_gamma 90.00
_symmetry_space_group_name_H-M 'P 1'
_symmetry_Int_Tables_number 1
loop_
_symmetry_equiv_pos_as_xyz
'x,y,z'
loop_
_atom_site_label
_atom_site_type_symbol
_atom_site_fract_x
_atom_site_fract_y
_atom_site_fract_z
Cr1 Cr 0.500 0.500 0.500
C1 C 0.000 0.000 0.000
Ti1 Ti 0.000 0.500 0.000
Ti2 Ti 0.000 0.000 0.500
Ti3 Ti 0.500 0.000 0.000
```

Crystal system   cubic
SG   Pm-3m
Total magnetization   0.001 μB/atom

=====

b.
Below is crystalline Ti3CrC at its relaxed geometry, with properties calculated at the PBE level.

Geometry as CIF:
```
data_Ti3CrC
_chemical_formula_sum 'Ti3 Cr1 C1'
_cell_length_a 4.380
_cell_length_b 4.380
_cell_length_c 4.380
_cell_angle_alpha 90.00
_cell_angle_beta 90.00
_cell_angle_gamma 90.00
_symmetry_space_group_name_H-M 'P 1'
_symmetry_Int_Tables_number 1
loop_
_symmetry_equiv_pos_as_xyz
'x,y,z'
loop_
_atom_site_label
_atom_site_type_symbol
_atom_site_fract_x
_atom_site_fract_y
_atom_site_fract_z
Cr1 Cr 0.000 0.000 0.000
C1 C 0.500 0.500 0.500
Ti1 Ti 0.000 0.500 0.000
Ti2 Ti 0.000 0.000 0.500
Ti3 Ti 0.500 0.000 0.000
```

Crystal system   cubic
SG   Pm-3m
Total magnetization   0.392 μB/atom

=====

Of them, a has the highest stability.

=====

a.
Below is crystalline TiCrC at its relaxed geometry, with properties calculated at the PBE level.

Geometry as CIF:
```
data_TiCrC
_chemical_formula_sum 'Ti1 Cr1 C1'
_cell_length_a 4.589
_cell_length_b 2.922
_cell_length_c 2.922
_cell_angle_alpha 120.00
_cell_angle_beta 90.00
_cell_angle_gamma 90.00
_symmetry_space_group_name_H-M 'P 1'
_symmetry_Int_Tables_number 1
loop_
_symmetry_equiv_pos_as_xyz
'x,y,z'
loop_
_atom_site_label
_atom_site_type_symbol
_atom_site_fract_x
_atom_site_fract_y
_atom_site_fract_z
Cr1 Cr 0.244 0.333 0.667
C1 C 0.016 0.000 0.000
Ti1 Ti 0.740 0.667 0.333
```

Crystal system   trigonal
SG   P3m1
Total magnetization   0.171 μB/atom

=====

b.
Below is crystalline TiCrC at its relaxed geometry, with properties calculated at the PBE level.

Geometry as CIF:
```
data_TiCrC
_chemical_formula_sum 'Ti2 Cr2 C2'
_cell_length_a 2.879
_cell_length_b 4.295
_cell_length_c 5.497
_cell_angle_alpha 89.98
_cell_angle_beta 90.00
_cell_angle_gamma 90.00
_symmetry_space_group_name_H-M 'P 1'
_symmetry_Int_Tables_number 1
loop_
_symmetry_equiv_pos_as_xyz
'x,y,z'
loop_
_atom_site_label
_atom_site_type_symbol
_atom_site_fract_x
_atom_site_fract_y
_atom_site_fract_z
Ti1 Ti 0.503 0.456 0.259
Ti2 Ti 0.003 0.956 0.502
Cr1 Cr 0.003 0.956 0.992
Cr2 Cr 0.503 0.456 0.769
C1 C 0.003 0.456 0.536
C2 C 0.503 0.956 0.225
```

Crystal system   orthorhombic
SG   Pmmn
Total magnetization   0.000 μB/atom

=====

Of them, a has the highest stability.

=====

a.
Below is crystalline TiCrC3 at its relaxed geometry, with properties calculated at the PBE level.

Geometry as CIF:
```
data_TiCrC3
_chemical_formula_sum 'Ti1 Cr1 C3'
_cell_length_a 3.733
_cell_length_b 3.733
_cell_length_c 3.733
_cell_angle_alpha 90.00
_cell_angle_beta 90.00
_cell_angle_gamma 90.00
_symmetry_space_group_name_H-M 'P 1'
_symmetry_Int_Tables_number 1
loop_
_symmetry_equiv_pos_as_xyz
'x,y,z'
loop_
_atom_site_label
_atom_site_type_symbol
_atom_site_fract_x
_atom_site_fract_y
_atom_site_fract_z
Cr1 Cr 0.000 0.000 0.000
C1 C 0.000 0.500 0.000
C2 C 0.000 0.000 0.500
C3 C 0.500 0.000 0.000
Ti1 Ti 0.500 0.500 0.500
```

Crystal system   cubic
SG   Pm-3m
Total magnetization   0.000 μB/atom

=====

b.
Below is crystalline TiCrC3 at its relaxed geometry, with properties calculated at the PBE level.

Geometry as CIF:
```
data_TiCrC3
_chemical_formula_sum 'Ti1 Cr1 C3'
_cell_length_a 3.935
_cell_length_b 3.935
_cell_length_c 3.935
_cell_angle_alpha 90.00
_cell_angle_beta 90.00
_cell_angle_gamma 90.00
_symmetry_space_group_name_H-M 'P 1'
_symmetry_Int_Tables_number 1
loop_
_symmetry_equiv_pos_as_xyz
'x,y,z'
loop_
_atom_site_label
_atom_site_type_symbol
_atom_site_fract_x
_atom_site_fract_y
_atom_site_fract_z
Cr1 Cr 0.500 0.500 0.500
C1 C 0.000 0.500 0.000
C2 C 0.000 0.000 0.500
C3 C 0.500 0.000 0.000
Ti1 Ti 0.000 0.000 0.000
```

Crystal system   cubic
SG   Pm-3m
Total magnetization   0.122 μB/atom

=====

Of them, a has the highest stability.

=====

a.
Below is crystalline TlCrC2 at its relaxed geometry, with properties calculated at the PBE level.

Geometry as CIF:
```
data_TlCrC2
_chemical_formula_sum 'Tl1 Cr1 C2'
_cell_length_a 4.044
_cell_length_b 4.044
_cell_length_c 4.044
_cell_angle_alpha 60.00
_cell_angle_beta 60.00
_cell_angle_gamma 60.00
_symmetry_space_group_name_H-M 'P 1'
_symmetry_Int_Tables_number 1
loop_
_symmetry_equiv_pos_as_xyz
'x,y,z'
loop_
_atom_site_label
_atom_site_type_symbol
_atom_site_fract_x
_atom_site_fract_y
_atom_site_fract_z
Cr1 Cr 0.000 0.000 0.000
Tl1 Tl 0.500 0.500 0.500
C1 C 0.250 0.250 0.250
C2 C 0.750 0.750 0.750
```

Crystal system   cubic
SG   Fm-3m
Total magnetization   0.000 μB/atom

=====

b.
Below is crystalline TlCrC2 at its relaxed geometry, with properties calculated at the PBE level.

Geometry as CIF:
```
data_TlCrC2
_chemical_formula_sum 'Tl2 Cr2 C4'
_cell_length_a 5.013
_cell_length_b 5.013
_cell_length_c 5.851
_cell_angle_alpha 64.64
_cell_angle_beta 64.64
_cell_angle_gamma 90.00
_symmetry_space_group_name_H-M 'P 1'
_symmetry_Int_Tables_number 1
loop_
_symmetry_equiv_pos_as_xyz
'x,y,z'
loop_
_atom_site_label
_atom_site_type_symbol
_atom_site_fract_x
_atom_site_fract_y
_atom_site_fract_z
Cr1 Cr 0.500 0.500 0.000
Cr2 Cr 0.250 0.750 0.500
Tl1 Tl 0.000 0.000 0.000
Tl2 Tl 0.750 0.250 0.500
C1 C 0.531 0.125 0.250
C2 C 0.219 0.625 0.250
C3 C 0.375 0.469 0.750
C4 C 0.875 0.781 0.750
```

Crystal system   tetragonal
SG   I-42d
Total magnetization   0.226 μB/atom

=====

Of them, b has the highest stability.

=====

a.
Below is crystalline TlCrC3 at its relaxed geometry, with properties calculated at the PBE level.

Geometry as CIF:
```
data_TlCrC3
_chemical_formula_sum 'Tl1 Cr1 C3'
_cell_length_a 3.966
_cell_length_b 3.966
_cell_length_c 3.966
_cell_angle_alpha 90.00
_cell_angle_beta 90.00
_cell_angle_gamma 90.00
_symmetry_space_group_name_H-M 'P 1'
_symmetry_Int_Tables_number 1
loop_
_symmetry_equiv_pos_as_xyz
'x,y,z'
loop_
_atom_site_label
_atom_site_type_symbol
_atom_site_fract_x
_atom_site_fract_y
_atom_site_fract_z
Cr1 Cr 0.000 0.000 0.000
Tl1 Tl 0.500 0.500 0.500
C1 C 0.000 0.500 0.000
C2 C 0.000 0.000 0.500
C3 C 0.500 0.000 0.000
```

Crystal system   cubic
SG   Pm-3m
Total magnetization   0.000 μB/atom

=====

b.
Below is crystalline TlCrC3 at its relaxed geometry, with properties calculated at the PBE level.

Geometry as CIF:
```
data_TlCrC3
_chemical_formula_sum 'Tl1 Cr1 C3'
_cell_length_a 4.259
_cell_length_b 4.259
_cell_length_c 4.259
_cell_angle_alpha 90.00
_cell_angle_beta 90.00
_cell_angle_gamma 90.00
_symmetry_space_group_name_H-M 'P 1'
_symmetry_Int_Tables_number 1
loop_
_symmetry_equiv_pos_as_xyz
'x,y,z'
loop_
_atom_site_label
_atom_site_type_symbol
_atom_site_fract_x
_atom_site_fract_y
_atom_site_fract_z
Cr1 Cr 0.500 0.500 0.500
Tl1 Tl 0.000 0.000 0.000
C1 C 0.000 0.500 0.000
C2 C 0.000 0.000 0.500
C3 C 0.500 0.000 0.000
```

Crystal system   cubic
SG   Pm-3m
Total magnetization   0.000 μB/atom

=====

Of them, a has the highest stability.